Crystalline PrEr2Mg at its relaxed geometry. Source: Alexandria via LeMat-Bulk, functional PBE.

Cell and atoms, written as POSCAR:
```
PrEr2Mg
1.0
3.423 0.000 0.000
1.712 2.965 0.000
1.712 0.988 12.173
Mg Pr Er
1 1 2
Cartesian
3.423 1.976 6.087 Mg
0.000 0.000 0.000 Pr
5.135 2.965 3.424 Er
1.712 0.988 8.749 Er
```

Output
The value obtained for the total magnetization is 0.01 μB/cell. The space group is No. 166. The calculation puts the polymorph energy (0 for the lowest one) at 21.7 kJ per mole of atoms. The formation energy is 0.1980 eV/atom. The density of states at the Fermi level is 6.741 states/eV/cell.